Crystalline MgZr3 at its relaxed geometry. Source: the Alexandria database, functional PBE.

Cell lengths 10.706, 10.706, 10.706 Å; angles 17.16, 17.16, 17.16 degrees
Fractional positions:
Mg  0.750  0.750  0.750
Zr  0.998  0.998  0.998
Zr  0.250  0.250  0.250
Zr  0.502  0.502  0.502

Results
Crystal system = trigonal
DFT formation energy = 49 meV per atom
Density = 5.31 g/cm³
DOS at the Fermi energy = 1.39 states/eV per atom